# BaLiGdHg | Alexandria via LeMat-Bulk | PBE | optimized geometry
# Space group   No. 216
# Fermi-level density of states   1.550 states/eV/atom
# Crystal system   cubic
# Formation energy   -0.1154 eV per atom
data_BaLiGdHg
_symmetry_space_group_name_H-M 'P 1'
_symmetry_Int_Tables_number 1
_cell_length_a 5.645
_cell_length_b 5.645
_cell_length_c 5.645
_cell_angle_alpha 60.00
_cell_angle_beta 60.00
_cell_angle_gamma 60.00
loop_
_symmetry_equiv_pos_as_xyz
'x,y,z'
loop_
_atom_site_label
_atom_site_fract_x
_atom_site_fract_y
_atom_site_fract_z
_atom_site_occupancy
Hg1 0.500 0.500 0.500 1
Ba1 0.250 0.250 0.250 1
Li1 0.000 0.000 0.000 1
Gd1 0.750 0.750 0.750 1

***

# Sc2Be12B3Ru | Alexandria via LeMat-Bulk | PBE | optimized geometry
# Space group   No. 166
# Fermi-level density of states   0.415 states/eV/atom
# Crystal system   trigonal
# Formation energy   0.3039 eV per atom
data_Sc2Be12B3Ru
_symmetry_space_group_name_H-M 'P 1'
_symmetry_Int_Tables_number 1
_cell_length_a 6.631
_cell_length_b 6.631
_cell_length_c 6.631
_cell_angle_alpha 59.53
_cell_angle_beta 59.53
_cell_angle_gamma 59.53
loop_
_symmetry_equiv_pos_as_xyz
'x,y,z'
loop_
_atom_site_label
_atom_site_fract_x
_atom_site_fract_y
_atom_site_fract_z
_atom_site_occupancy
Be1 0.853 0.463 0.853 1
Be2 0.147 0.147 0.537 1
Be3 0.251 0.916 0.251 1
Be4 0.251 0.251 0.916 1
Be5 0.749 0.749 0.084 1
Be6 0.916 0.251 0.251 1
Be7 0.463 0.853 0.853 1
Be8 0.084 0.749 0.749 1
Be9 0.853 0.853 0.463 1
Be10 0.749 0.084 0.749 1
Be11 0.147 0.537 0.147 1
Be12 0.537 0.147 0.147 1
Sc1 0.410 0.410 0.410 1
Sc2 0.590 0.590 0.590 1
B1 0.000 0.500 0.000 1
B2 0.000 0.000 0.500 1
B3 0.500 0.000 0.000 1
Ru1 0.000 0.000 0.000 1

***

# K2AcIO2 | Alexandria via LeMat-Bulk | PBE | optimized geometry
# Space group   No. 123
# Total energy   -30.1 eV/cell
# Crystal system   tetragonal
data_K2AcIO2
_symmetry_space_group_name_H-M 'P 1'
_symmetry_Int_Tables_number 1
_cell_length_a 4.843
_cell_length_b 4.843
_cell_length_c 7.290
_cell_angle_alpha 90.00
_cell_angle_beta 90.00
_cell_angle_gamma 90.00
loop_
_symmetry_equiv_pos_as_xyz
'x,y,z'
loop_
_atom_site_label
_atom_site_fract_x
_atom_site_fract_y
_atom_site_fract_z
_atom_site_occupancy
K1 0.500 0.500 0.223 1
K2 0.500 0.500 0.777 1
O1 0.000 0.500 0.000 1
O2 0.500 0.000 0.000 1
I1 0.000 0.000 0.500 1
Ac1 0.000 0.000 0.000 1

***

# Ca2CdSnAu6 | Alexandria via LeMat-Bulk | PBE | optimized geometry
# Space group   No. 225
# Fermi-level density of states   0.376 states/eV/atom
# Crystal system   cubic
# Formation energy   -0.0768 eV per atom
data_Ca2CdSnAu6
_symmetry_space_group_name_H-M 'P 1'
_symmetry_Int_Tables_number 1
_cell_length_a 7.351
_cell_length_b 7.351
_cell_length_c 7.351
_cell_angle_alpha 60.00
_cell_angle_beta 60.00
_cell_angle_gamma 90.00
loop_
_symmetry_equiv_pos_as_xyz
'x,y,z'
loop_
_atom_site_label
_atom_site_fract_x
_atom_site_fract_y
_atom_site_fract_z
_atom_site_occupancy
Au1 0.750 0.750 0.000 1
Au2 0.250 0.250 0.000 1
Au3 0.250 0.250 0.500 1
Au4 0.750 0.750 0.500 1
Au5 0.250 0.750 0.000 1
Au6 0.750 0.250 0.000 1
Ca1 0.750 0.250 0.500 1
Ca2 0.250 0.750 0.500 1
Cd1 0.500 0.500 0.000 1
Sn1 0.000 0.000 0.000 1

***

# Ti8NbNi2 | Alexandria via LeMat-Bulk | PBE | optimized geometry
# Space group   No. 12
# Fermi-level density of states   1.181 states/eV/atom
# Crystal system   monoclinic
# Formation energy   0.0024 eV per atom
data_Ti8NbNi2
_symmetry_space_group_name_H-M 'P 1'
_symmetry_Int_Tables_number 1
_cell_length_a 4.493
_cell_length_b 7.015
_cell_length_c 7.015
_cell_angle_alpha 118.42
_cell_angle_beta 99.58
_cell_angle_gamma 99.58
loop_
_symmetry_equiv_pos_as_xyz
'x,y,z'
loop_
_atom_site_label
_atom_site_fract_x
_atom_site_fract_y
_atom_site_fract_z
_atom_site_occupancy
Ti1 0.316 0.611 0.611 1
Ti2 0.684 0.389 0.389 1
Ti3 0.911 0.684 0.913 1
Ti4 0.500 0.229 0.771 1
Ti5 0.911 0.913 0.684 1
Ti6 0.089 0.087 0.316 1
Ti7 0.500 0.771 0.229 1
Ti8 0.089 0.316 0.087 1
Ni1 0.000 0.694 0.306 1
Ni2 0.000 0.306 0.694 1
Nb1 0.500 0.000 0.000 1

***

# YRhW2 | Alexandria via LeMat-Bulk | PBE | optimized geometry
# Space group   No. 123
# Fermi-level density of states   0.856 states/eV/atom
# Crystal system   tetragonal
# Formation energy   0.3253 eV per atom
# Distance to the lowest polymorph of the same formula   276 meV per atom
data_YRhW2
_symmetry_space_group_name_H-M 'P 1'
_symmetry_Int_Tables_number 1
_cell_length_a 2.833
_cell_length_b 2.833
_cell_length_c 8.892
_cell_angle_alpha 90.00
_cell_angle_beta 90.00
_cell_angle_gamma 90.01
loop_
_symmetry_equiv_pos_as_xyz
'x,y,z'
loop_
_atom_site_label
_atom_site_fract_x
_atom_site_fract_y
_atom_site_fract_z
_atom_site_occupancy
Rh1 0.500 0.500 0.750 1
W1 0.000 0.000 0.534 1
W2 0.000 0.000 0.966 1
Y1 0.500 0.500 0.250 1

***

# Rb3Sm2PuSe6 | Alexandria via LeMat-Bulk | PBE | optimized geometry
# Space group   No. 12
# Fermi-level density of states   1.083 states/eV/atom
# Total energy   -67.1 eV/cell
# Crystal system   monoclinic
data_Rb3Sm2PuSe6
_symmetry_space_group_name_H-M 'P 1'
_symmetry_Int_Tables_number 1
_cell_length_a 7.511
_cell_length_b 7.511
_cell_length_c 8.371
_cell_angle_alpha 98.60
_cell_angle_beta 98.60
_cell_angle_gamma 120.00
loop_
_symmetry_equiv_pos_as_xyz
'x,y,z'
loop_
_atom_site_label
_atom_site_fract_x
_atom_site_fract_y
_atom_site_fract_z
_atom_site_occupancy
Sm1 0.667 0.333 0.000 1
Sm2 0.333 0.667 0.000 1
Rb1 0.500 0.500 0.500 1
Rb2 0.833 0.167 0.500 1
Rb3 0.167 0.833 0.500 1
Se1 0.734 0.734 0.198 1
Se2 0.934 0.602 0.802 1
Se3 0.266 0.266 0.802 1
Se4 0.066 0.398 0.198 1
Se5 0.398 0.066 0.198 1
Se6 0.602 0.934 0.802 1
Pu1 0.000 0.000 0.000 1

***

# CaMgSc4 | Alexandria via LeMat-Bulk | PBE | optimized geometry
# Space group   No. 216
# Fermi-level density of states   1.440 states/eV/atom
# Crystal system   cubic
# Formation energy   0.2142 eV per atom
data_CaMgSc4
_symmetry_space_group_name_H-M 'P 1'
_symmetry_Int_Tables_number 1
_cell_length_a 6.161
_cell_length_b 6.161
_cell_length_c 6.161
_cell_angle_alpha 60.00
_cell_angle_beta 60.00
_cell_angle_gamma 60.00
loop_
_symmetry_equiv_pos_as_xyz
'x,y,z'
loop_
_atom_site_label
_atom_site_fract_x
_atom_site_fract_y
_atom_site_fract_z
_atom_site_occupancy
Ca1 0.750 0.750 0.750 1
Mg1 0.000 0.000 0.000 1
Sc1 0.374 0.878 0.374 1
Sc2 0.374 0.374 0.878 1
Sc3 0.374 0.374 0.374 1
Sc4 0.878 0.374 0.374 1

***

Listing volume for the structures above in their given order: 31.79, 11.33, 28.50, 28.09, 16.71, 17.84, 32.52, 27.56 A^3/atom.
Listing magnetization for the structures above in their given order: 7.5, 0.0, 0.0, 0.0, 0.0, 0.0, 5.0, 0.0 μB/f.u..